Record 1
Compound: BaNaAsO4
Source: Alexandria
Functional: GGA-PBE
Structure: optimized geometry

For the formation energy without anion corrections, the calculation gives -13.9 eV per formula unit. Its space group is Cmcm, No. 63.

Lattice parameters (Å, degrees): 5.951 5.951 7.749 90.00 90.00 114.49
Positions (direct):
Ba: 0.500 0.500 0.500
Ba: 0.500 0.500 0.000
O: 0.237 0.763 0.066
O: 0.251 0.179 0.250
O: 0.763 0.237 0.934
O: 0.237 0.763 0.434
O: 0.821 0.749 0.250
O: 0.749 0.821 0.750
O: 0.179 0.251 0.750
O: 0.763 0.237 0.566
Na: 0.836 0.164 0.250
Na: 0.164 0.836 0.750
As: 0.858 0.142 0.750
As: 0.142 0.858 0.250

Record 2
Compound: Li2AuBr6
Source: Alexandria
Functional: GGA-PBE
Structure: optimized geometry

For the formation energy without anion corrections, the calculation gives -6.0 eV per formula unit. The value obtained for the distance to the lowest polymorph of the same formula is 0.0 kJ per mole of atoms. Its space group is C2/c, No. 15.

Lattice parameters (Å, degrees): 5.180 13.652 13.652 120.69 72.24 72.24
Positions (direct):
Au: 0.750 0.817 0.183
Au: 0.250 0.183 0.817
Br: 0.707 0.030 0.256
Br: 0.286 0.692 0.571
Br: 0.293 0.970 0.744
Br: 0.870 0.601 0.142
Br: 0.207 0.256 0.030
Br: 0.214 0.429 0.308
Br: 0.786 0.571 0.692
Br: 0.714 0.308 0.429
Br: 0.630 0.858 0.399
Br: 0.130 0.399 0.858
Br: 0.793 0.744 0.970
Br: 0.370 0.142 0.601
Li: 0.812 0.665 0.568
Li: 0.688 0.432 0.335
Li: 0.312 0.568 0.665
Li: 0.188 0.335 0.432

Record 3
Compound: LiPtW2
Source: Alexandria
Functional: GGA-PBE
Structure: optimized geometry

The energy of formation comes out at 129.5 meV per atom. The value obtained for the distance to the lowest polymorph of the same formula is 9.9 kJ per mole of atoms. Its space group is P4/mmm, No. 123.

Lattice parameters (Å, degrees): 4.264 3.744 3.744 90.00 90.00 90.00
Positions (direct):
W: 0.000 0.000 0.000
W: 0.000 0.500 0.500
Li: 0.500 0.500 0.000
Pt: 0.500 0.000 0.500

Record 4
Compound: Cs5MnCl8
Source: Alexandria
Functional: GGA-PBE
Structure: optimized geometry

For the formation energy without anion corrections, the calculation gives -23.1 eV per formula unit. Its space group is I-4, No. 82.

Lattice parameters (Å, degrees): 9.132 9.132 9.132 112.76 103.08 112.76
Each line ends with the local moment (μB).
Positions (direct):
Cl: 0.169 0.676 0.919  0.01
Cl: 0.719 0.197 0.304  -0.07
Cl: 0.243 0.324 0.493  0.01
Cl: 0.107 0.803 0.522  -0.07
Cl: 0.696 0.415 0.893  -0.07
Cl: 0.507 0.750 0.831  0.01
Cl: 0.081 0.250 0.757  0.01
Cl: 0.478 0.585 0.281  -0.07
Cs: 0.500 0.000 0.500  0.00
Cs: 0.025 0.418 0.170  0.00
Cs: 0.753 0.582 0.607  0.00
Cs: 0.393 0.145 0.975  0.00
Cs: 0.830 0.855 0.247  0.00
Mn: 0.250 0.500 0.750  3.61

Record 5
Compound: LiNbCdCl2
Source: Alexandria
Functional: GGA-PBE
Structure: optimized geometry

For the formation energy without anion corrections, the calculation gives 2.8 eV per formula unit. The value obtained for the distance to the lowest polymorph of the same formula is 48.0 kJ per mole of atoms. Its space group is P4/mmm, No. 123.

Lattice parameters (Å, degrees): 5.331 5.331 5.735 90.00 90.00 90.00
Each line ends with the local moment (μB).
Positions (direct):
Li: 0.500 0.500 0.500  0.04
Cl: 0.500 0.000 0.000  0.05
Cl: 0.000 0.500 0.000  0.05
Nb: 0.000 0.000 0.500  3.01
Cd: 0.000 0.000 0.000  0.04

Record 6
Compound: LiCa4Sm3Te8
Source: Alexandria
Functional: GGA-PBE
Structure: optimized geometry

For the formation energy without anion corrections, the calculation gives -23.8 eV per formula unit. Its space group is R-3m, No. 166.

Lattice parameters (Å, degrees): 8.904 8.949 8.904 119.84 120.00 90.00
Positions (direct):
Sm: 0.000 0.500 0.500
Sm: 0.500 0.500 0.000
Sm: 0.500 0.500 0.500
Te: 0.250 0.249 0.500
Te: 0.754 0.254 0.508
Te: 0.246 0.746 0.492
Te: 0.750 0.751 0.500
Te: 0.754 0.255 0.001
Te: 0.247 0.255 0.001
Te: 0.246 0.745 0.999
Te: 0.753 0.745 0.999
Ca: 0.500 0.000 0.000
Ca: 0.000 0.000 0.000
Ca: 0.000 0.000 0.500
Ca: 0.500 0.000 0.500
Li: 0.000 0.500 0.000